First-principles (GGA-PBE) data for an optimized crystal structure of SiBP, as listed in Alexandria via LeMat-Bulk.

The space group is P1 (No. 1) and the conventional cell measures 3.377, 4.598 and 6.173 Å, with angles of 68.79, 83.42 and 75.97 degrees. The inequivalent atoms are Si at (0.000, 0.000, 0.000), Si at (0.281, 0.651, 0.523), B at (0.480, 0.435, 0.282), B at (0.572, 0.749, 0.014), P at (0.051, 0.179, 0.302) and P at (0.762, 0.537, 0.781).

The energy above the most stable polymorph in this dataset comes out at 0.1602 eV/atom. The spin magnetization is 0.00 μB/f.u. The value obtained for the uncorrected formation energy is -0.008 eV per atom. Its crystal system is triclinic.

***

First-principles (GGA-PBE) data for an optimized crystal structure of SiBP, as listed in Alexandria via LeMat-Bulk.

The space group is Cc (No. 9) and the conventional cell measures 4.986, 4.965 and 6.634 Å, with angles of 90.00, 110.27 and 90.00 degrees. The inequivalent atoms are Si at (0.000, 0.098, 0.000), B at (0.146, 0.166, 0.752) and P at (0.045, 0.434, 0.250).

The energy above the most stable polymorph in this dataset comes out at 0.3479 eV/atom. The spin magnetization is 0.00 μB/f.u. The value obtained for the uncorrected formation energy is 0.180 eV per atom. Its crystal system is monoclinic.

***

First-principles (GGA-PBE) data for an optimized crystal structure of SiBP, as listed in Alexandria via LeMat-Bulk.

The space group is I4_1md (No. 109) and the conventional cell measures 3.413, 3.413 and 14.642 Å, with angles of 90.00, 90.00 and 90.00 degrees. The inequivalent atoms are Si at (0.000, 0.000, 0.000), B at (0.000, 0.000, 0.676) and P at (0.000, 0.000, 0.351).

The energy above the most stable polymorph in this dataset comes out at 0.0000 eV/atom. The spin magnetization is 0.00 μB/f.u. The value obtained for the uncorrected formation energy is -0.168 eV per atom. Its crystal system is tetragonal.

***

First-principles (GGA-PBE) data for an optimized crystal structure of SiBP, as listed in Alexandria via LeMat-Bulk.

The space group is Pm (No. 6) and the conventional cell measures 5.079, 3.391 and 5.732 Å, with angles of 90.00, 112.99 and 90.00 degrees. The inequivalent atoms are Si at (0.000, 0.000, 0.000), Si at (0.491, 0.500, 0.453), B at (0.382, 0.500, 0.761), B at (0.410, 0.000, 0.251), P at (0.535, 0.000, 0.968) and P at (0.976, 0.500, 0.730).

The energy above the most stable polymorph in this dataset comes out at 0.0789 eV/atom. The spin magnetization is 0.00 μB/f.u. The value obtained for the uncorrected formation energy is -0.089 eV per atom. Its crystal system is monoclinic.

***

First-principles (GGA-PBE) data for an optimized crystal structure of SiB2P, as listed in Alexandria via LeMat-Bulk.

The space group is P1 (No. 1) and the conventional cell measures 2.883, 3.280 and 5.302 Å, with angles of 82.80, 82.27 and 73.13 degrees. The inequivalent atoms are Si at (0.000, 0.000, 0.000), B at (0.336, 0.436, 0.846), B at (0.875, 0.411, 0.649) and P at (0.954, 0.932, 0.440).

The energy above the most stable polymorph in this dataset comes out at 0.2995 eV/atom. The spin magnetization is 0.00 μB/f.u. The value obtained for the uncorrected formation energy is 0.273 eV per atom. Its crystal system is triclinic.

***

First-principles (GGA-PBE) data for an optimized crystal structure of SiBP, as listed in Alexandria via LeMat-Bulk.

The space group is Amm2 (No. 38) and the conventional cell measures 3.285, 3.093 and 8.375 Å, with angles of 90.00, 90.00 and 90.00 degrees. The inequivalent atoms are Si at (0.000, 0.000, 0.000), B at (0.500, 0.000, 0.842) and P at (0.500, 0.000, 0.212).

The energy above the most stable polymorph in this dataset comes out at 0.4385 eV/atom. The spin magnetization is 0.00 μB/f.u. The value obtained for the uncorrected formation energy is 0.270 eV per atom. Its crystal system is orthorhombic.

***

First-principles (GGA-PBE) data for an optimized crystal structure of SiBP, as listed in Alexandria via LeMat-Bulk.

The space group is R3m (No. 160, hexagonal axes) and the conventional cell measures 3.1027, 3.1027 and 14.9808 Å, with angles of 90.00, 90.00 and 120.00 degrees. The inequivalent atoms are Si at (0.0000, 0.0000, 0.0000), B at (0.0000, 0.0000, 0.1372) and P at (0.0000, 0.0000, 0.8461).

The energy above the most stable polymorph in this dataset comes out at 0.2736 eV/atom. The spin magnetization is 0.00 μB/f.u. The value obtained for the uncorrected formation energy is 0.105 eV per atom. Its crystal system is trigonal.

***

First-principles (GGA-PBE) data for an optimized crystal structure of SiB2P, as listed in Alexandria via LeMat-Bulk.

The space group is Pmm2 (No. 25) and the conventional cell measures 3.234, 3.268 and 4.673 Å, with angles of 90.00, 90.00 and 90.00 degrees. The inequivalent atoms are Si at (0.000, 0.000, 0.000), B at (0.500, 0.000, 0.737), B at (0.500, 0.500, 0.575) and P at (0.000, 0.500, 0.331).

The energy above the most stable polymorph in this dataset comes out at 0.1547 eV/atom. The spin magnetization is 0.00 μB/f.u. The value obtained for the uncorrected formation energy is 0.128 eV per atom. Its crystal system is orthorhombic.